(1)
A plane-wave DFT calculation with GGA-PBE was carried out for an optimized crystal structure of MgTcSnH.

Summary:
Energy above the most stable polymorph in this dataset: 0.00 eV per formula unit

Structure (POSCAR):
```
MgTcSnH
1.0
3.352 0.000 0.000
0.000 3.632 0.000
0.000 0.000 9.244
Mg Tc Sn H
2 2 2 2
direct
0.000 0.000 0.000 Mg
0.500 0.500 0.500 Mg
0.000 0.000 0.669 Tc
0.500 0.500 0.169 Tc
0.000 0.000 0.324 Sn
0.500 0.500 0.824 Sn
0.000 0.500 0.090 H
0.500 0.000 0.590 H
```


(2)
A plane-wave DFT calculation with GGA-PBE was carried out for an optimized crystal structure of Hf4InC.

Summary:
Energy above the most stable polymorph in this dataset: 0.53 eV per formula unit

Structure (POSCAR):
```
Hf4InC
1.0
3.894 -6.421 0.000
3.894 6.421 0.000
-2.621 0.000 4.927
Hf In C
8 2 2
direct
0.058 0.651 0.843 Hf
0.136 0.248 0.693 Hf
0.248 0.136 0.193 Hf
0.349 0.942 0.657 Hf
0.651 0.058 0.343 Hf
0.752 0.864 0.807 Hf
0.864 0.752 0.307 Hf
0.942 0.349 0.157 Hf
0.399 0.601 0.250 In
0.601 0.399 0.750 In
0.066 0.934 0.750 C
0.934 0.066 0.250 C
```


(3)
A plane-wave DFT calculation with GGA-PBE was carried out for an optimized crystal structure of Na2U2NiSe6.

Summary:
Raw total energy: -62.1 eV/cell

Structure (POSCAR):
```
Na2U2NiSe6
1.0
3.428 -5.987 0.000
3.428 5.987 0.000
-2.277 0.000 7.131
Na U Ni Se
2 2 1 6
direct
0.168 0.832 0.000 Na
0.832 0.168 0.000 Na
0.334 0.666 0.500 U
0.666 0.334 0.500 U
0.000 0.000 0.500 Ni
0.074 0.398 0.721 Se
0.233 0.233 0.290 Se
0.398 0.074 0.721 Se
0.602 0.926 0.279 Se
0.767 0.767 0.710 Se
0.926 0.602 0.279 Se
```


(4)
A plane-wave DFT calculation with GGA-PBE was carried out for an optimized crystal structure of ScTaGe2O8.

Summary:
Raw total energy: -95.1 eV/cell

Structure (POSCAR):
```
ScTaGe2O8
1.0
-3.320 3.320 3.133
3.320 -3.320 3.133
3.320 3.320 -3.133
Sc Ta Ge O
1 1 2 8
direct
0.000 0.000 0.000 Sc
0.750 0.250 0.500 Ta
0.250 0.750 0.500 Ge
0.500 0.500 0.000 Ge
0.046 0.363 0.317 O
0.046 0.729 0.683 O
0.115 0.311 0.804 O
0.271 0.954 0.317 O
0.507 0.311 0.196 O
0.637 0.954 0.683 O
0.689 0.493 0.804 O
0.689 0.885 0.196 O
```